Record 1
{
  "formula": "Ac2Sb3AsPt4",
  "functional": "GGA-PBE",
  "state": "optimized geometry",
  "e_form_raw_kj_per_mol_fu": -886,
  "lattice": [[4.759, 0.000, 0.000], [0.000, 4.759, 0.000], [0.000, 0.000, 10.321]],
  "species": ["Ac", "Ac", "Sb", "Sb", "Sb", "As", "Pt", "Pt", "Pt", "Pt"],
  "frac_coords": [[0.000, 0.500, 0.247], [0.500, 0.000, 0.753], [0.000, 0.500, 0.872], [0.500, 0.000, 0.128], [0.500, 0.500, 0.500], [0.000, 0.000, 0.500], [0.000, 0.000, 0.000], [0.000, 0.500, 0.614], [0.500, 0.000, 0.386], [0.500, 0.500, 0.000]]
}

=====

Record 2
{
  "formula": "Ac3SbAs2Pt6",
  "functional": "GGA-PBE",
  "state": "optimized geometry",
  "e_form_raw_kj_per_mol_fu": -1100,
  "lattice": [[5.835, 0.000, 0.000], [-2.918, 5.053, 0.000], [0.000, 0.000, 9.952]],
  "species": ["Ac", "Ac", "Ac", "Sb", "As", "As", "Pt", "Pt", "Pt", "Pt", "Pt", "Pt"],
  "frac_coords": [[0.000, 0.000, 0.000], [0.333, 0.667, 0.610], [0.667, 0.333, 0.390], [0.000, 0.000, 0.500], [0.333, 0.667, 0.095], [0.667, 0.333, 0.905], [0.168, 0.336, 0.281], [0.168, 0.832, 0.281], [0.336, 0.168, 0.719], [0.664, 0.832, 0.281], [0.832, 0.168, 0.719], [0.832, 0.664, 0.719]]
}

=====

Record 3
{
  "formula": "Ac2ScAs3Pt4",
  "functional": "GGA-PBE",
  "state": "optimized geometry",
  "lattice": [[4.407, 0.000, 0.000], [0.000, 4.407, 0.000], [0.000, 0.000, 11.024]],
  "species": ["Ac", "Ac", "Sc", "As", "As", "As", "Pt", "Pt", "Pt", "Pt"],
  "frac_coords": [[0.000, 0.500, 0.230], [0.500, 0.000, 0.770], [0.000, 0.000, 0.500], [0.000, 0.500, 0.871], [0.500, 0.000, 0.129], [0.500, 0.500, 0.500], [0.000, 0.000, 0.000], [0.000, 0.500, 0.641], [0.500, 0.000, 0.359], [0.500, 0.500, 0.000]]
}

=====

Record 4
{
  "formula": "Ac2ScAs4Pt3",
  "functional": "GGA-PBE",
  "state": "optimized geometry",
  "lattice": [[4.520, 0.000, 0.000], [0.000, 4.520, 0.000], [0.000, 0.000, 10.605]],
  "species": ["Ac", "Ac", "Sc", "As", "As", "As", "As", "Pt", "Pt", "Pt"],
  "frac_coords": [[0.000, 0.500, 0.232], [0.500, 0.000, 0.768], [0.000, 0.000, 0.500], [0.000, 0.000, 0.000], [0.000, 0.500, 0.640], [0.500, 0.000, 0.360], [0.500, 0.500, 0.000], [0.000, 0.500, 0.885], [0.500, 0.000, 0.115], [0.500, 0.500, 0.500]]
}

=====

Record 5
{
  "formula": "Ac8AsPt3Se4",
  "functional": "GGA-PBE",
  "state": "optimized geometry",
  "e_form_raw_kj_per_mol_fu": -2362,
  "lattice": [[4.419, 2.551, 7.652], [-4.419, 2.551, 7.652], [0.000, -5.103, 7.652]],
  "species": ["Ac", "Ac", "Ac", "Ac", "Ac", "Ac", "Ac", "Ac", "As", "Pt", "Pt", "Pt", "Se", "Se", "Se", "Se"],
  "frac_coords": [[0.238, 0.748, 0.748], [0.242, 0.242, 0.242], [0.252, 0.252, 0.762], [0.252, 0.762, 0.252], [0.748, 0.238, 0.748], [0.748, 0.748, 0.238], [0.758, 0.758, 0.758], [0.762, 0.252, 0.252], [0.500, 0.500, 0.500], [0.000, 0.000, 0.500], [0.000, 0.500, 0.000], [0.500, 0.000, 0.000], [0.000, 0.000, 0.000], [0.000, 0.500, 0.500], [0.500, 0.000, 0.500], [0.500, 0.500, 0.000]]
}

=====

Record 6
{
  "formula": "Ac6AsPt3Se2",
  "functional": "GGA-PBE",
  "state": "optimized geometry",
  "e_form_raw_kj_per_mol_fu": -1647,
  "lattice": [[9.930, -2.187, 0.000], [9.930, 2.187, 0.000], [-2.741, 0.000, 8.792]],
  "species": ["Ac", "Ac", "Ac", "Ac", "Ac", "Ac", "As", "Pt", "Pt", "Pt", "Se", "Se"],
  "frac_coords": [[0.005, 0.005, 0.246], [0.331, 0.331, 0.428], [0.338, 0.338, 0.904], [0.662, 0.662, 0.096], [0.669, 0.669, 0.572], [0.995, 0.995, 0.754], [0.500, 0.500, 0.500], [0.168, 0.168, 0.334], [0.500, 0.500, 0.000], [0.832, 0.832, 0.666], [0.168, 0.168, 0.838], [0.832, 0.832, 0.162]]
}

=====

Number 1: DFT total energy -58.58 eV/cell. Number 2: DFT total energy -73.39 eV/cell. Number 3: DFT total energy -62.53 eV/cell. Number 4: DFT total energy -61.62 eV/cell. Number 5: DFT total energy -94.06 eV/cell. Number 6: DFT total energy -71.46 eV/cell.